Density functional theory data (PBE) for a relaxed structure of Cs2ErBr6.

The structure belongs to space group Amm2 (No. 38); the cell edges are 4.570, 15.791 and 9.100 Å and the angles 90.00°, 90.00° and 90.00°. The inequivalent atoms are Cs at (0.000, 0.167, 0.000), Er at (0.500, 0.000, 0.501), Br at (0.000, 0.000, 0.721), Br at (0.000, 0.110, 0.390), Br at (0.500, 0.000, 0.172) and Br at (0.500, 0.165, 0.665).

The calculation puts the volume at 36.48 A^3/atom. For the density of states at the Fermi level, the calculation gives 18.63 states/eV per cell. The calculation puts the spin magnetization at 1.06 μB/f.u. As for the energy: -3.31 eV/atom. For the formation energy without anion corrections, the calculation gives -1.50 eV per atom.